(1)
VASP calculation (PBE) on TlCo2 after structural relaxation.

Results
For the total energy, the calculation gives -4.99 eV/atom. For the theoretical density, the calculation gives 11.47 g/cm³. The space-group type is No. 62. The crystal system is orthorhombic. The value obtained for the density of states at the Fermi level is 17.77 states/eV per cell.

a = 3.971 Å, b = 5.413 Å, c = 8.683 Å
α = 90.00°, β = 90.00°, γ = 90.00°
Positions (direct):
Co: 0.750 0.878 0.564
Co: 0.250 0.122 0.436
Co: 0.750 0.378 0.936
Co: 0.750 0.465 0.205
Co: 0.250 0.035 0.705
Co: 0.750 0.965 0.295
Co: 0.250 0.535 0.795
Co: 0.250 0.622 0.064
Tl: 0.250 0.635 0.390
Tl: 0.750 0.365 0.610
Tl: 0.750 0.865 0.890
Tl: 0.250 0.135 0.110

(2)
VASP calculation (PBE) on TlCo2 after structural relaxation.

Results
For the total energy, the calculation gives -5.09 eV/atom. For the theoretical density, the calculation gives 10.12 g/cm³. The space-group type is No. 63. The crystal system is orthorhombic. The value obtained for the density of states at the Fermi level is 5.47 states/eV per cell.

a = 8.352 Å, b = 8.352 Å, c = 3.627 Å
α = 90.00°, β = 90.00°, γ = 155.29°
Positions (direct):
Co: 0.342 0.658 0.250
Co: 0.658 0.342 0.750
Co: 0.749 0.251 0.250
Co: 0.251 0.749 0.750
Tl: 0.913 0.087 0.750
Tl: 0.087 0.913 0.250

Which value of theoretical density does entry 2 give? 10.12 g/cm³

Copy entry 2 word for word.
VASP calculation (PBE) on TlCo2 after structural relaxation.

Results
For the total energy, the calculation gives -5.09 eV/atom. For the theoretical density, the calculation gives 10.12 g/cm³. The space-group type is No. 63. The crystal system is orthorhombic. The value obtained for the density of states at the Fermi level is 5.47 states/eV per cell.

a = 8.352 Å, b = 8.352 Å, c = 3.627 Å
α = 90.00°, β = 90.00°, γ = 155.29°
Positions (direct):
Co: 0.342 0.658 0.250
Co: 0.658 0.342 0.750
Co: 0.749 0.251 0.250
Co: 0.251 0.749 0.750
Tl: 0.913 0.087 0.750
Tl: 0.087 0.913 0.250

theoretical density of number 1 (TlCo2)? 11.47 g/cm³

Please write out number 1 again, unchanged.
VASP calculation (PBE) on TlCo2 after structural relaxation.

Results
For the total energy, the calculation gives -4.99 eV/atom. For the theoretical density, the calculation gives 11.47 g/cm³. The space-group type is No. 62. The crystal system is orthorhombic. The value obtained for the density of states at the Fermi level is 17.77 states/eV per cell.

a = 3.971 Å, b = 5.413 Å, c = 8.683 Å
α = 90.00°, β = 90.00°, γ = 90.00°
Positions (direct):
Co: 0.750 0.878 0.564
Co: 0.250 0.122 0.436
Co: 0.750 0.378 0.936
Co: 0.750 0.465 0.205
Co: 0.250 0.035 0.705
Co: 0.750 0.965 0.295
Co: 0.250 0.535 0.795
Co: 0.250 0.622 0.064
Tl: 0.250 0.635 0.390
Tl: 0.750 0.365 0.610
Tl: 0.750 0.865 0.890
Tl: 0.250 0.135 0.110